A) Re2WAu after structural relaxation. Source: Alexandria, functional PBE.

The calculation puts the density of states at the Fermi level at 4.4 states/eV/f.u.

The structure belongs to space group P4mm (No. 99); the cell edges are 2.805, 2.805 and 8.161 Å and the angles 90.00°, 90.00° and 90.00°. The asymmetric unit holds Re at (0.000, 0.000, 0.000), Re at (0.500, 0.500, 0.220), W at (0.000, 0.000, 0.466) and Au at (0.500, 0.500, 0.731).



B) Re2WAu after structural relaxation. Source: Alexandria, functional PBE.

The calculation puts the density of states at the Fermi level at 4.6 states/eV/f.u.

The structure belongs to space group R-3m (No. 166, hexagonal axes); the cell edges are 2.8280, 2.8280 and 27.7698 Å and the angles 90.00°, 90.00° and 120.00°. The asymmetric unit holds Re at (0.0000, 0.0000, 0.2462), W at (0.0000, 0.0000, 0.5000) and Au at (0.0000, 0.0000, 0.0000).



C) Re2WAu after structural relaxation. Source: Alexandria, functional PBE.

The calculation puts the density of states at the Fermi level at 2.8 states/eV/f.u.

The structure belongs to space group I-42d (No. 122); the cell edges are 7.277, 7.277 and 5.381 Å and the angles 90.00°, 90.00° and 90.00°. The asymmetric unit holds Re at (0.221, 0.250, 0.125), W at (0.000, 0.000, 0.000) and Au at (0.000, 0.000, 0.500).



A) ends up most stable, edging out the next structure by 5.7 kJ/mol of atoms.



A) Re2WAu after structural relaxation. Source: Alexandria, functional PBE.

The calculation puts the density of states at the Fermi level at 3.0 states/eV/f.u.

The structure belongs to space group P2/m (No. 10); the cell edges are 2.866, 3.953 and 5.675 Å and the angles 90.00°, 90.06° and 90.00°. The asymmetric unit holds Re at (0.003, 0.000, 0.277), W at (0.500, 0.500, 0.500) and Au at (0.500, 0.500, 0.000).



B) Re2WAu after structural relaxation. Source: Alexandria, functional PBE.

The calculation puts the density of states at the Fermi level at 0.2 states/eV/f.u.

The structure belongs to space group R3m (No. 160, hexagonal axes); the cell edges are 2.8085, 2.8085 and 28.1716 Å and the angles 90.00°, 90.00° and 120.00°. The asymmetric unit holds Re at (0.0000, 0.0000, 0.0000), Re at (0.0000, 0.0000, 0.2574), W at (0.0000, 0.0000, 0.7502) and Au at (0.0000, 0.0000, 0.5033).



C) Re2WAu after structural relaxation. Source: Alexandria, functional PBE.

The calculation puts the density of states at the Fermi level at 2.7 states/eV/f.u.

The structure belongs to space group Fm-3m (No. 225); the cell edges are 6.344, 6.344 and 6.344 Å and the angles 90.00°, 90.00° and 90.00°. The asymmetric unit holds Re at (0.250, 0.250, 0.250), W at (0.000, 0.000, 0.000) and Au at (0.000, 0.000, 0.500).



B) ends up most stable, edging out the next structure by 9.7 kJ/mol of atoms.



A) Re2WAu after structural relaxation. Source: Alexandria, functional PBE.

The calculation puts the density of states at the Fermi level at 2.4 states/eV/f.u.

The structure belongs to space group F-43m (No. 216); the cell edges are 6.350, 6.350 and 6.350 Å and the angles 90.00°, 90.00° and 90.00°. The asymmetric unit holds Re at (0.000, 0.000, 0.000), Re at (0.250, 0.250, 0.250), W at (0.250, 0.250, 0.750) and Au at (0.000, 0.000, 0.500).



B) Re2WAu after structural relaxation. Source: Alexandria, functional PBE.

The calculation puts the density of states at the Fermi level at 2.5 states/eV/f.u.

The structure belongs to space group Imm2 (No. 44); the cell edges are 3.964, 3.978 and 7.956 Å and the angles 90.00°, 90.00° and 90.00°. The asymmetric unit holds Re at (0.000, 0.000, 0.000), Re at (0.000, 0.500, 0.261), W at (0.000, 0.000, 0.501) and Au at (0.000, 0.500, 0.752).



C) Re2WAu after structural relaxation. Source: Alexandria, functional PBE.

The calculation puts the density of states at the Fermi level at 4.0 states/eV/f.u.

The structure belongs to space group Cmm2 (No. 35); the cell edges are 3.159, 4.445 and 9.176 Å and the angles 90.00°, 90.00° and 90.00°. The asymmetric unit holds Re at (0.000, 0.000, 0.000), Re at (0.000, 0.500, 0.233), W at (0.000, 0.500, 0.762) and Au at (0.000, 0.000, 0.500).



D) Re2WAu after structural relaxation. Source: Alexandria, functional PBE.

The calculation puts the density of states at the Fermi level at 3.0 states/eV/f.u.

The structure belongs to space group Cmmm (No. 65); the cell edges are 3.145, 4.451 and 9.223 Å and the angles 90.00°, 90.00° and 90.00°. The asymmetric unit holds Re at (0.000, 0.000, 0.235), W at (0.000, 0.500, 0.000) and Au at (0.000, 0.500, 0.500).



B) ends up most stable, edging out the next structure by 3.1 kJ/mol of atoms.